No. 1
{"formula": "In2GeAu", "functional": "GGA-PBE", "state": "relaxed", "lattice": [[2.1271, 1.2281, 6.1658], [-2.1271, 1.2281, 6.1658], [0.0000, -2.4561, 6.1658]], "species": ["In", "In", "Ge", "Au"], "fractional_positions": [[0.0000, 0.0000, 0.0000], [0.1714, 0.1714, 0.1714], [0.5818, 0.5818, 0.5818], [0.4210, 0.4210, 0.4210]], "spacegroup": "R3m, No. 160", "n_ef_per_ev_fu": 1.10, "energy_ev_per_atom": -3.311}

=====

No. 2
{"formula": "Li4TaFe", "functional": "GGA-PBE", "state": "relaxed", "lattice": [[0.0000, 3.4385, 3.4385], [3.4385, 0.0000, 3.4385], [3.4385, 3.4385, 0.0000]], "species": ["Li", "Li", "Li", "Li", "Ta", "Fe"], "fractional_positions": [[0.3767, 0.3767, 0.3767], [0.3767, 0.3767, 0.8699], [0.3767, 0.8699, 0.3767], [0.8699, 0.3767, 0.3767], [0.0000, 0.0000, 0.0000], [0.7500, 0.7500, 0.7500]], "spacegroup": "F-43m, No. 216", "n_ef_per_ev_fu": 4.95, "energy_ev_per_atom": -4.122}

=====

No. 3
{"formula": "K2SnF8", "functional": "GGA-PBE", "state": "relaxed", "lattice": [[5.3822, -3.5713, 0.0000], [5.3822, 3.5713, 0.0000], [-3.4978, 0.0000, 5.5024]], "species": ["K", "K", "Sn", "F", "F", "F", "F", "F", "F", "F", "F"], "fractional_positions": [[0.2383, 0.2383, 0.3142], [0.7617, 0.7617, 0.6858], [0.5000, 0.5000, 0.0000], [0.0739, 0.0739, 0.6107], [0.2204, 0.6109, 0.7384], [0.3112, 0.3112, 0.9936], [0.3891, 0.7796, 0.2616], [0.6109, 0.2204, 0.7384], [0.6888, 0.6888, 0.0064], [0.7796, 0.3891, 0.2616], [0.9261, 0.9261, 0.3893]], "spacegroup": "C2/m, No. 12", "raw_formation_energy_ev_per_atom": -2.2521, "n_ef_per_ev_fu": 0.00, "energy_ev_per_atom": -4.177}

=====

No. 4
{"formula": "La4SmDyTm2", "functional": "GGA-PBE", "state": "relaxed", "lattice": [[5.2170, 0.0000, 0.0000], [0.0000, 5.2426, 0.0000], [0.0000, 0.0000, 9.9669]], "species": ["La", "La", "La", "La", "Sm", "Dy", "Tm", "Tm"], "fractional_positions": [[0.0000, 0.0000, 0.2481], [0.0000, 0.0000, 0.7519], [0.5000, 0.5000, 0.2486], [0.5000, 0.5000, 0.7514], [0.5000, 0.0000, 0.5000], [0.0000, 0.5000, 0.0000], [0.0000, 0.5000, 0.5000], [0.5000, 0.0000, 0.0000]], "spacegroup": "Pmmm, No. 47", "n_ef_per_ev_fu": 11.07, "energy_ev_per_atom": -4.726}

=====

No. 5
{"formula": "Ho4Tm3Al", "functional": "GGA-PBE", "state": "relaxed", "lattice": [[3.4990, 0.0000, 0.0000], [0.0000, 3.4990, 0.0000], [0.0000, 0.0000, 18.8405]], "species": ["Ho", "Ho", "Ho", "Ho", "Tm", "Tm", "Tm", "Al"], "fractional_positions": [[0.0000, 0.0000, 0.1018], [0.0000, 0.0000, 0.3676], [0.0000, 0.0000, 0.6324], [0.0000, 0.0000, 0.8982], [0.5000, 0.5000, 0.2369], [0.5000, 0.5000, 0.5000], [0.5000, 0.5000, 0.7631], [0.5000, 0.5000, 0.0000]], "spacegroup": "P4/mmm, No. 123", "relative_energy_mev_per_atom": 0.0, "n_ef_per_ev_fu": 10.23, "energy_ev_per_atom": -4.514}

=====

No. 6
{"formula": "KTeI2O", "functional": "GGA-PBE", "state": "relaxed", "lattice": [[6.6499, 0.0000, 0.0000], [0.0000, 6.6499, 0.0000], [0.0000, 0.0000, 7.0985]], "species": ["K", "Te", "I", "I", "O"], "fractional_positions": [[0.0000, 0.0000, 0.0000], [0.0000, 0.0000, 0.5000], [0.0000, 0.5000, 0.0000], [0.5000, 0.0000, 0.0000], [0.5000, 0.5000, 0.5000]], "spacegroup": "P4/mmm, No. 123", "relative_energy_mev_per_atom": 1452.5, "raw_formation_energy_ev_per_atom": 0.7062, "n_ef_per_ev_fu": 12.84, "energy_ev_per_atom": -1.753}

=====

No. 7
{"formula": "DyMgAlZn", "functional": "GGA-PBE", "state": "relaxed", "lattice": [[0.0000, 3.4538, 3.4538], [3.4538, 0.0000, 3.4538], [3.4538, 3.4538, 0.0000]], "species": ["Dy", "Mg", "Al", "Zn"], "fractional_positions": [[0.0000, 0.0000, 0.0000], [0.5000, 0.5000, 0.5000], [0.2500, 0.2500, 0.2500], [0.7500, 0.7500, 0.7500]], "spacegroup": "F-43m, No. 216", "n_ef_per_ev_fu": 0.69, "energy_ev_per_atom": -3.083}

=====

No. 8
{"formula": "YZn2Ni", "functional": "GGA-PBE", "state": "relaxed", "lattice": [[3.6837, -2.1219, 0.0000], [3.6837, 2.1219, 0.0000], [-2.4524, 0.0000, 4.6579]], "species": ["Y", "Zn", "Zn", "Ni"], "fractional_positions": [[0.0000, 0.0000, 0.0000], [0.5275, 0.5275, 0.5823], [0.7937, 0.7937, 0.3808], [0.1983, 0.1983, 0.5947]], "spacegroup": "Cm, No. 8", "n_ef_per_ev_fu": 3.03, "energy_ev_per_atom": -4.023}

=====

No. 9
{"formula": "AcTb5PrY2", "functional": "GGA-PBE", "state": "relaxed", "lattice": [[2.7970, -11.9826, 0.0000], [2.7970, 11.9826, 0.0000], [0.0000, 0.0000, 9.4005]], "species": ["Ac", "Ac", "Tb", "Tb", "Tb", "Tb", "Tb", "Tb", "Tb", "Tb", "Tb", "Tb", "Pr", "Pr", "Y", "Y", "Y", "Y"], "fractional_positions": [[0.1022, 0.8978, 0.5000], [0.8978, 0.1022, 0.0000], [0.0237, 0.9763, 0.1828], [0.1012, 0.8988, 0.9011], [0.1911, 0.8089, 0.2002], [0.2424, 0.7576, 0.5631], [0.4934, 0.5066, 0.4091], [0.5066, 0.4934, 0.9091], [0.7576, 0.2424, 0.0631], [0.8089, 0.1911, 0.7002], [0.8988, 0.1012, 0.4011], [0.9763, 0.0237, 0.6828], [0.2603, 0.7397, 0.8909], [0.7397, 0.2603, 0.3909], [0.3327, 0.6673, 0.2535], [0.3879, 0.6121, 0.6471], [0.6121, 0.3879, 0.1471], [0.6673, 0.3327, 0.7535]], "spacegroup": "Cmc2_1, No. 36", "n_ef_per_ev_fu": 11.43, "energy_ev_per_atom": -4.849}

=====

No. 10
{"formula": "CaMgGa2", "functional": "GGA-PBE", "state": "relaxed", "lattice": [[8.0473, 0.0000, 0.0000], [0.0000, 4.2661, 0.0000], [0.0000, 0.0000, 10.8024]], "species": ["Ca", "Ca", "Ca", "Ca", "Mg", "Mg", "Mg", "Mg", "Ga", "Ga", "Ga", "Ga", "Ga", "Ga", "Ga", "Ga"], "fractional_positions": [[0.1431, 0.2500, 0.1398], [0.3569, 0.7500, 0.6398], [0.6431, 0.2500, 0.3602], [0.8569, 0.7500, 0.8602], [0.0109, 0.7500, 0.3908], [0.4891, 0.2500, 0.8908], [0.5109, 0.7500, 0.1092], [0.9891, 0.2500, 0.6092], [0.1483, 0.2500, 0.8334], [0.2478, 0.2500, 0.4363], [0.2522, 0.7500, 0.9363], [0.3517, 0.7500, 0.3334], [0.6483, 0.2500, 0.6666], [0.7478, 0.2500, 0.0637], [0.7522, 0.7500, 0.5637], [0.8517, 0.7500, 0.1666]], "spacegroup": "Pnma, No. 62", "n_ef_per_ev_fu": 1.88, "energy_ev_per_atom": -2.780}

=====

No. 11
{"formula": "Pm6Er8Sc", "functional": "GGA-PBE", "state": "relaxed", "lattice": [[4.5109, 2.6044, 6.8662], [-4.5109, 2.6044, 6.8662], [0.0000, -5.2087, 6.8662]], "species": ["Pm", "Pm", "Pm", "Pm", "Pm", "Pm", "Er", "Er", "Er", "Er", "Er", "Er", "Er", "Er", "Sc"], "fractional_positions": [[0.0419, 0.7243, 0.6050], [0.2757, 0.3950, 0.9581], [0.3950, 0.9581, 0.2757], [0.6050, 0.0419, 0.7243], [0.7243, 0.6050, 0.0419], [0.9581, 0.2757, 0.3950], [0.0768, 0.0768, 0.0768], [0.2193, 0.2493, 0.6108], [0.2493, 0.6108, 0.2193], [0.3892, 0.7807, 0.7507], [0.6108, 0.2193, 0.2493], [0.7507, 0.3892, 0.7807], [0.7807, 0.7507, 0.3892], [0.9232, 0.9232, 0.9232], [0.5000, 0.5000, 0.5000]], "spacegroup": "R-3, No. 148", "n_ef_per_ev_fu": 22.31, "energy_ev_per_atom": -4.640}

=====

No. 12
{"formula": "CaLu2Tc", "functional": "GGA-PBE", "state": "relaxed", "lattice": [[1.7411, 1.0053, 10.6344], [-1.7411, 1.0053, 10.6344], [0.0000, -2.0105, 10.6344]], "species": ["Ca", "Lu", "Lu", "Tc"], "fractional_positions": [[0.0000, 0.0000, 0.0000], [0.1067, 0.1067, 0.1067], [0.8933, 0.8933, 0.8933], [0.5000, 0.5000, 0.5000]], "spacegroup": "R-3m, No. 166", "relative_energy_mev_per_atom": 254.5, "n_ef_per_ev_fu": 3.63, "energy_ev_per_atom": -5.149}

=====

No. 13
{"formula": "Fe2CuPt3", "functional": "GGA-PBE", "state": "relaxed", "lattice": [[2.7530, 0.0000, 0.0000], [0.0000, 2.7530, 0.0000], [0.0000, 0.0000, 11.0918]], "species": ["Fe", "Fe", "Cu", "Pt", "Pt", "Pt"], "fractional_positions": [[0.0000, 0.0000, 0.1686], [0.0000, 0.0000, 0.8314], [0.0000, 0.0000, 0.5000], [0.5000, 0.5000, 0.0000], [0.5000, 0.5000, 0.3325], [0.5000, 0.5000, 0.6675]], "spacegroup": "P4/mmm, No. 123", "n_ef_per_ev_fu": 3.95, "energy_ev_per_atom": -6.755}

=====

No. 14
{"formula": "Tb2Mg3Ag3", "functional": "GGA-PBE", "state": "relaxed", "lattice": [[2.5104, 1.4494, 8.1287], [-2.5104, 1.4494, 8.1287], [0.0000, -2.8988, 8.1287]], "species": ["Tb", "Tb", "Mg", "Mg", "Mg", "Ag", "Ag", "Ag"], "fractional_positions": [[0.0000, 0.0000, 0.0000], [0.4896, 0.4896, 0.4896], [0.2483, 0.2483, 0.2483], [0.7424, 0.7424, 0.7424], [0.8711, 0.8711, 0.8711], [0.1270, 0.1270, 0.1270], [0.3665, 0.3665, 0.3665], [0.6153, 0.6153, 0.6153]], "spacegroup": "R3m, No. 160", "n_ef_per_ev_fu": 6.36, "energy_ev_per_atom": -3.067}

=====

No. 15
{"formula": "BaH3Pd", "functional": "GGA-PBE", "state": "relaxed", "lattice": [[7.1606, 0.0000, 0.0000], [0.0000, 4.9099, 0.0000], [-2.8482, 0.0000, 9.2009]], "species": ["Ba", "Ba", "Ba", "Ba", "H", "H", "H", "H", "H", "H", "H", "H", "H", "H", "H", "H", "Pd", "Pd", "Pd", "Pd"], "fractional_positions": [[0.2266, 0.1789, 0.1712], [0.2266, 0.3211, 0.6712], [0.7734, 0.6789, 0.3288], [0.7734, 0.8211, 0.8288], [0.1498, 0.6403, 0.9099], [0.1498, 0.8597, 0.4099], [0.3809, 0.0817, 0.9227], [0.3809, 0.4183, 0.4227], [0.4736, 0.5030, 0.1225], [0.4736, 0.9970, 0.6225], [0.5264, 0.0030, 0.3775], [0.5264, 0.4970, 0.8775], [0.6191, 0.5817, 0.5773], [0.6191, 0.9183, 0.0773], [0.8502, 0.1403, 0.5901], [0.8502, 0.3597, 0.0901], [0.3857, 0.7473, 0.4877], [0.3857, 0.7527, 0.9877], [0.6143, 0.2473, 0.0123], [0.6143, 0.2527, 0.5123]], "spacegroup": "P2_1/c, No. 14", "n_ef_per_ev_fu": 0.00, "energy_ev_per_atom": -3.842}

=====

No. 16
{"formula": "LiCuRh2", "functional": "GGA-PBE", "state": "relaxed", "lattice": [[1.3359, 0.7713, 8.7407], [-1.3359, 0.7713, 8.7407], [0.0000, -1.5426, 8.7407]], "species": ["Li", "Cu", "Rh", "Rh"], "fractional_positions": [[0.0000, 0.0000, 0.0000], [0.5000, 0.5000, 0.5000], [0.2493, 0.2493, 0.2493], [0.7507, 0.7507, 0.7507]], "spacegroup": "R-3m, No. 166", "n_ef_per_ev_fu": 4.95, "energy_ev_per_atom": -5.197}

=====

No. 17
{"formula": "LaCu2Ni", "functional": "GGA-PBE", "state": "relaxed", "lattice": [[4.8841, 0.0000, 0.0000], [-2.4129, 4.6502, 0.0000], [-1.8034, -1.6686, 6.1440]], "species": ["La", "La", "Cu", "Cu", "Cu", "Cu", "Ni", "Ni"], "fractional_positions": [[0.1286, 0.4192, 0.2759], [0.8714, 0.5808, 0.7241], [0.2697, 0.2564, 0.8504], [0.4000, 0.0262, 0.1612], [0.6000, 0.9738, 0.8388], [0.7303, 0.7436, 0.1496], [0.2431, 0.9949, 0.4910], [0.7569, 0.0051, 0.5090]], "spacegroup": "P-1, No. 2", "n_ef_per_ev_fu": 2.16, "energy_ev_per_atom": -4.954}

=====

No. 18
{"formula": "Ho4Er4In", "functional": "GGA-PBE", "state": "relaxed", "lattice": [[-5.2477, 5.2477, 2.4301], [5.2477, -5.2477, 2.4301], [5.2477, 5.2477, -2.4301]], "species": ["Ho", "Ho", "Ho", "Ho", "Er", "Er", "Er", "Er", "In"], "fractional_positions": [[0.1622, 0.1622, 0.3244], [0.1622, 0.8378, 0.0000], [0.8378, 0.1622, 0.0000], [0.8378, 0.8378, 0.6756], [0.1648, 0.5000, 0.6648], [0.5000, 0.1648, 0.6648], [0.5000, 0.8352, 0.3352], [0.8352, 0.5000, 0.3352], [0.5000, 0.5000, 0.0000]], "spacegroup": "I4/mmm, No. 139", "n_ef_per_ev_fu": 13.79, "energy_ev_per_atom": -4.441}

=====

No. 19
{"formula": "HoPa2AlC4", "functional": "GGA-PBE", "state": "relaxed", "lattice": [[1.8043, -5.8225, 0.0000], [1.8043, 5.8225, 0.0000], [0.0000, 0.0000, 11.8730]], "species": ["Ho", "Ho", "Pa", "Pa", "Pa", "Pa", "Al", "Al", "C", "C", "C", "C", "C", "C", "C", "C"], "fractional_positions": [[0.1095, 0.8905, 0.7500], [0.8905, 0.1095, 0.2500], [0.3704, 0.6296, 0.5516], [0.3704, 0.6296, 0.9484], [0.6296, 0.3704, 0.0516], [0.6296, 0.3704, 0.4484], [0.1529, 0.8471, 0.2500], [0.8471, 0.1529, 0.7500], [0.0000, 0.0000, 0.0000], [0.0000, 0.0000, 0.5000], [0.2574, 0.7426, 0.1167], [0.2574, 0.7426, 0.3833], [0.4424, 0.5576, 0.7500], [0.5576, 0.4424, 0.2500], [0.7426, 0.2574, 0.6167], [0.7426, 0.2574, 0.8833]], "spacegroup": "Cmcm, No. 63", "n_ef_per_ev_fu": 2.25, "energy_ev_per_atom": -8.261}

=====

No. 20
{"formula": "ZrTcW2", "functional": "GGA-PBE", "state": "relaxed", "lattice": [[2.8506, 0.0000, 0.0000], [0.0000, 4.4930, 0.0000], [-0.9270, 0.0000, 5.2749]], "species": ["Zr", "Tc", "W", "W"], "fractional_positions": [[0.0000, 0.0000, 0.0000], [0.7543, 0.5000, 0.2487], [0.2656, 0.5000, 0.7336], [0.5051, 0.0000, 0.4976]], "spacegroup": "Pm, No. 6", "relative_energy_mev_per_atom": 102.9, "n_ef_per_ev_fu": 2.14, "energy_ev_per_atom": -11.185}

=====

No. 21
{"formula": "SrSiPt2", "functional": "GGA-PBE", "state": "relaxed", "lattice": [[-1.6704, 2.4823, 4.7639], [1.6704, -2.4823, 4.7639], [1.6704, 2.4823, -4.7639]], "species": ["Sr", "Si", "Pt", "Pt"], "fractional_positions": [[0.0000, 0.0000, 0.0000], [0.7246, 0.2246, 0.5000], [0.2894, 0.7894, 0.5000], [0.5440, 0.5440, 0.0000]], "spacegroup": "Imm2, No. 44", "raw_formation_energy_ev_per_atom": -0.3952, "n_ef_per_ev_fu": 1.01, "energy_ev_per_atom": -5.192}

=====

No. 22
{"formula": "NdHgAu", "functional": "GGA-PBE", "state": "relaxed", "lattice": [[5.2369, 0.0000, 0.0000], [-2.6184, 4.5352, 0.0000], [0.0000, 0.0000, 6.2857]], "species": ["Nd", "Nd", "Hg", "Hg", "Au", "Au"], "fractional_positions": [[0.3333, 0.6667, 0.2500], [0.6667, 0.3333, 0.7500], [0.0000, 0.0000, 0.0000], [0.0000, 0.0000, 0.5000], [0.3333, 0.6667, 0.7500], [0.6667, 0.3333, 0.2500]], "spacegroup": "P6_3/mmc, No. 194", "n_ef_per_ev_fu": 2.94, "energy_ev_per_atom": -3.429}

=====

No. 23
{"formula": "VCuReGe2", "functional": "GGA-PBE", "state": "relaxed", "lattice": [[4.3607, 0.0000, 0.0000], [0.0000, 4.3607, 0.0000], [0.0000, 0.0000, 4.5120]], "species": ["V", "Cu", "Re", "Ge", "Ge"], "fractional_positions": [[0.0000, 0.0000, 0.0000], [0.0000, 0.0000, 0.5000], [0.5000, 0.5000, 0.0000], [0.0000, 0.5000, 0.5000], [0.5000, 0.0000, 0.5000]], "spacegroup": "P4/mmm, No. 123", "n_ef_per_ev_fu": 6.50, "energy_ev_per_atom": -5.607}

=====

No. 24
{"formula": "CuNi2As", "functional": "GGA-PBE", "state": "relaxed", "lattice": [[4.3322, -1.4761, 0.0000], [4.3322, 1.4761, 0.0000], [-1.3235, 0.0000, 3.8423]], "species": ["Cu", "Ni", "Ni", "As"], "fractional_positions": [[0.0000, 0.0000, 0.0000], [0.2509, 0.2509, 0.8389], [0.4800, 0.4800, 0.4866], [0.7459, 0.7459, 0.3471]], "spacegroup": "Cm, No. 8", "n_ef_per_ev_fu": 2.14, "energy_ev_per_atom": -5.122}